Record 1
Density functional theory data (PBE) for an optimized crystal structure of CrRhSe2.

POSCAR file:
```
CrRhSe2
1.0
4.496 0.000 0.000
0.000 4.496 0.000
0.000 0.000 3.191
Cr Rh Se
1 1 2
Direct
0.000 0.000 0.000
0.500 0.500 0.000
0.000 0.500 0.500
0.500 0.000 0.500
```

Results
**Formation energy without anion corrections**: -53 meV per atom
**DFT total energy**: -24.16 eV per formula unit
**Crystal system**: tetragonal
**Space-group type**: No. 123
**Energy relative to the lowest polymorph listed for this composition**: 270 meV per atom

***

Record 2
Density functional theory data (PBE) for an optimized crystal structure of TaTcAg2.

POSCAR file:
```
TaTcAg2
1.0
1.598 -2.179 0.000
1.598 2.179 0.000
0.000 0.000 9.740
Ta Tc Ag
1 1 2
Direct
0.000 0.000 0.000
0.000 0.000 0.500
0.500 0.500 0.254
0.500 0.500 0.746
```

Results
**DFT total energy**: -25.96 eV per formula unit
**Crystal system**: orthorhombic
**Space-group type**: No. 65
**ΔE_f**: 0.489 eV/atom
**Energy relative to the lowest polymorph listed for this composition**: 311 meV per atom